# 1
CdTeAu after structural relaxation, computed with GGA-PBE.

The symmetry is P-1, No. 2. The uncorrected formation energy comes out at -145 meV per atom. As for the crystal system: triclinic.

a = 4.915 Å, b = 5.271 Å, c = 7.132 Å
α = 74.50°, β = 74.75°, γ = 85.67°
Atoms (fractional coordinates):
Te  0.178  0.652  0.720
Te  0.822  0.348  0.280
Au  0.718  0.814  0.986
Au  0.282  0.186  0.014
Cd  0.227  0.708  0.296
Cd  0.773  0.292  0.704

# 2
BaNaHgAs2 after structural relaxation, computed with GGA-PBE.

The symmetry is C2/m, No. 12. The calculated formation energy is -557 meV/atom. As for the crystal system: monoclinic.

a = 4.669 Å, b = 6.693 Å, c = 10.140 Å
α = 88.96°, β = 76.69°, γ = 69.59°
Atoms (fractional coordinates):
Ba  0.804  0.731  0.660
Ba  0.196  0.269  0.340
Na  0.391  0.287  0.931
Na  0.609  0.713  0.069
Hg  0.068  0.147  0.716
Hg  0.932  0.853  0.284
As  0.460  0.701  0.379
As  0.540  0.299  0.621
As  0.877  0.155  0.090
As  0.123  0.845  0.910

# 3
Te2W after structural relaxation, computed with GGA-PBE.

The symmetry is Pnnm, No. 58. The uncorrected formation energy comes out at 158 meV per atom. As for the crystal system: orthorhombic.

a = 3.529 Å, b = 6.050 Å, c = 6.839 Å
α = 90.00°, β = 90.00°, γ = 90.00°
Atoms (fractional coordinates):
Te  0.000  0.198  0.647
Te  0.000  0.802  0.353
Te  0.500  0.698  0.853
Te  0.500  0.302  0.147
W  0.000  0.000  0.000
W  0.500  0.500  0.500

# 4
Pu2AuO after structural relaxation, computed with GGA-PBE.

The symmetry is P4/mmm, No. 123. The uncorrected formation energy comes out at -1054 meV per atom. As for the crystal system: tetragonal.

a = 3.134 Å, b = 3.134 Å, c = 7.678 Å
α = 90.00°, β = 90.00°, γ = 90.00°
Site moments in Bohr magnetons follow the coordinates.
Atoms (fractional coordinates):
Au  0.500  0.500  0.500  0.08
O  0.500  0.500  0.000  -0.07
Pu  0.000  0.000  0.797  5.79
Pu  0.000  0.000  0.203  5.79

# 5
KZnSb2 after structural relaxation, computed with GGA-PBE.

The symmetry is P2/m, No. 10. The uncorrected formation energy comes out at -104 meV per atom. As for the crystal system: monoclinic.

a = 4.004 Å, b = 4.476 Å, c = 7.668 Å
α = 67.30°, β = 90.00°, γ = 90.00°
Atoms (fractional coordinates):
K  0.500  0.750  0.750
Sb  0.000  0.026  0.079
Sb  0.000  0.474  0.421
Zn  0.500  0.250  0.250

# 6
BaTa2ZnO after structural relaxation, computed with GGA-PBE.

The symmetry is P4/mmm, No. 123. The uncorrected formation energy comes out at 18 meV per atom. As for the crystal system: tetragonal.

a = 4.247 Å, b = 5.909 Å, c = 4.247 Å
α = 90.00°, β = 90.00°, γ = 90.00°
Atoms (fractional coordinates):
Zn  0.000  0.500  0.000
Ba  0.500  0.500  0.500
O  0.000  0.000  0.000
Ta  0.000  0.000  0.500
Ta  0.500  0.000  0.000

# 7
Al2IrAu after structural relaxation, computed with GGA-PBE.

The symmetry is R3m, No. 160. The calculated formation energy is -465 meV/atom. As for the crystal system: trigonal.

a = 4.061 Å, b = 4.061 Å, c = 5.286 Å
α = 67.41°, β = 67.41°, γ = 60.00°
Atoms (fractional coordinates):
Al  0.063  0.063  0.812
Al  0.267  0.267  0.199
Ir  0.683  0.683  0.952
Au  0.488  0.488  0.537

# 8
BaPuTl2O6 after structural relaxation, computed with GGA-PBE.

The symmetry is P-1, No. 2. The uncorrected formation energy comes out at -1838 meV per atom. As for the crystal system: triclinic.

a = 6.639 Å, b = 6.620 Å, c = 6.617 Å
α = 56.47°, β = 57.17°, γ = 56.53°
Site moments in Bohr magnetons follow the coordinates.
Atoms (fractional coordinates):
Ba  0.816  0.816  0.552  0.00
Pu  0.316  0.316  0.052  0.22
Tl  0.572  0.592  0.309  0.00
Tl  0.060  0.041  0.794  0.00
O  0.515  0.200  0.254  -0.01
O  0.155  0.047  0.332  -0.01
O  0.034  0.583  0.214  -0.01
O  0.478  0.586  0.771  -0.01
O  0.598  0.049  0.889  -0.01
O  0.118  0.432  0.849  -0.01

# 9
LaGa3CoIr after structural relaxation, computed with GGA-PBE.

The symmetry is Cmcm, No. 63. The calculated formation energy is -398 meV/atom. As for the crystal system: orthorhombic.

a = 5.817 Å, b = 7.467 Å, c = 6.520 Å
α = 124.94°, β = 90.00°, γ = 90.00°
Atoms (fractional coordinates):
La  0.750  0.276  0.552
La  0.250  0.724  0.448
Ga  0.250  0.181  0.361
Ga  0.000  0.254  0.000
Ga  0.500  0.746  0.000
Ga  0.500  0.254  0.000
Ga  0.000  0.746  0.000
Ga  0.750  0.819  0.639
Co  0.250  0.968  0.935
Co  0.750  0.032  0.065
Ir  0.250  0.407  0.814
Ir  0.750  0.593  0.186

# 10
Sr7Y after structural relaxation, computed with GGA-PBE.

The symmetry is Fm-3m, No. 225. The calculated formation energy is 112 meV/atom. As for the crystal system: cubic.

a = 8.299 Å, b = 8.299 Å, c = 8.299 Å
α = 60.00°, β = 60.00°, γ = 60.00°
Site moments in Bohr magnetons follow the coordinates.
Atoms (fractional coordinates):
Sr  0.000  0.500  0.000  0.01
Sr  0.500  0.500  0.000  0.01
Sr  0.000  0.500  0.500  0.01
Sr  0.500  0.000  0.500  0.01
Sr  0.000  0.000  0.500  0.01
Sr  0.500  0.000  0.000  0.01
Sr  0.500  0.500  0.500  -0.01
Y  0.000  0.000  0.000  0.22

# 11
Pm4NdSi4 after structural relaxation, computed with GGA-PBE.

The symmetry is P4_2/n, No. 86. The uncorrected formation energy comes out at -448 meV per atom. As for the crystal system: tetragonal.

a = 5.960 Å, b = 9.111 Å, c = 9.111 Å
α = 90.00°, β = 90.00°, γ = 90.00°
Atoms (fractional coordinates):
Pm  0.370  0.310  0.917
Pm  0.870  0.583  0.810
Pm  0.370  0.690  0.083
Pm  0.130  0.190  0.583
Pm  0.630  0.917  0.690
Pm  0.130  0.810  0.417
Pm  0.870  0.417  0.190
Pm  0.630  0.083  0.310
Nd  0.000  0.000  0.000
Nd  0.500  0.500  0.500
Si  0.640  0.768  0.364
Si  0.640  0.232  0.636
Si  0.140  0.864  0.732
Si  0.860  0.268  0.864
Si  0.860  0.732  0.136
Si  0.360  0.364  0.232
Si  0.360  0.636  0.768
Si  0.140  0.136  0.268

# 12
Ce2AlNi2 after structural relaxation, computed with GGA-PBE.

The symmetry is Cmcm, No. 63. The calculated formation energy is -339 meV/atom. As for the crystal system: orthorhombic.

a = 5.212 Å, b = 5.322 Å, c = 7.410 Å
α = 111.04°, β = 90.00°, γ = 90.00°
Atoms (fractional coordinates):
Ce  0.750  0.419  0.839
Ce  0.750  0.787  0.574
Ce  0.250  0.581  0.161
Ce  0.250  0.213  0.426
Al  0.000  0.000  0.000
Al  0.500  0.000  0.000
Ni  0.750  0.367  0.247
Ni  0.250  0.120  0.753
Ni  0.250  0.633  0.753
Ni  0.750  0.880  0.247

# 13
Tb2Nd2Tl after structural relaxation, computed with GGA-PBE.

The symmetry is C2/m, No. 12. The calculated formation energy is -119 meV/atom. As for the crystal system: monoclinic.

a = 6.130 Å, b = 4.838 Å, c = 8.007 Å
α = 89.99°, β = 130.81°, γ = 113.24°
Atoms (fractional coordinates):
Tb  0.779  0.390  0.688
Tb  0.221  0.610  0.312
Nd  0.396  0.198  0.088
Nd  0.604  0.802  0.912
Tl  0.000  0.000  0.500

# 14
DyCuPdPb after structural relaxation, computed with GGA-PBE.

The symmetry is F-43m, No. 216. The calculated formation energy is -455 meV/atom. As for the crystal system: cubic.

a = 4.835 Å, b = 4.835 Å, c = 4.835 Å
α = 60.00°, β = 60.00°, γ = 60.00°
Atoms (fractional coordinates):
Pb  0.500  0.500  0.500
Cu  0.250  0.250  0.250
Pd  0.750  0.750  0.750
Dy  0.000  0.000  0.000

# 15
Cd2InHg4 after structural relaxation, computed with GGA-PBE.

The symmetry is I4/mmm, No. 139. The calculated formation energy is 132 meV/atom. As for the crystal system: tetragonal.

a = 5.732 Å, b = 5.732 Å, c = 8.322 Å
α = 69.85°, β = 69.85°, γ = 90.00°
Atoms (fractional coordinates):
Cd  0.602  0.602  0.795
Cd  0.398  0.398  0.205
Hg  0.799  0.799  0.403
Hg  0.201  0.201  0.597
Hg  0.000  0.500  0.000
Hg  0.500  0.000  0.000
In  0.000  0.000  0.000

# 16
Hf3TcO after structural relaxation, computed with GGA-PBE.

The symmetry is Pm-3m, No. 221. The uncorrected formation energy comes out at -995 meV per atom. As for the crystal system: cubic.

a = 4.377 Å, b = 4.377 Å, c = 4.377 Å
α = 90.00°, β = 90.00°, γ = 90.00°
Site moments in Bohr magnetons follow the coordinates.
Atoms (fractional coordinates):
Hf  0.000  0.500  0.000  0.00
Hf  0.000  0.000  0.500  0.00
Hf  0.500  0.000  0.000  0.00
Tc  0.500  0.500  0.500  0.06
O  0.000  0.000  0.000  0.00

# 17
Ti8Ga2W after structural relaxation, computed with GGA-PBE.

The symmetry is C2/m, No. 12. The calculated formation energy is -187 meV/atom. As for the crystal system: monoclinic.

a = 4.611 Å, b = 7.178 Å, c = 6.932 Å
α = 120.87°, β = 109.43°, γ = 90.00°
Atoms (fractional coordinates):
Ti  0.410  0.553  0.821
Ti  0.674  0.908  0.348
Ti  0.868  0.819  0.737
Ti  0.946  0.266  0.893
Ti  0.132  0.181  0.263
Ti  0.326  0.092  0.652
Ti  0.590  0.447  0.179
Ti  0.054  0.734  0.107
Ga  0.772  0.354  0.544
Ga  0.228  0.646  0.456
W  0.500  0.000  0.000

# 18
Be2NiSb after structural relaxation, computed with GGA-PBE.

The symmetry is P2/m, No. 10. The uncorrected formation energy comes out at 270 meV per atom. As for the crystal system: monoclinic.

a = 3.982 Å, b = 3.107 Å, c = 4.617 Å
α = 99.16°, β = 90.00°, γ = 90.00°
Atoms (fractional coordinates):
Sb  0.500  0.750  0.750
Be  0.000  0.964  0.074
Be  0.000  0.536  0.426
Ni  0.500  0.250  0.250

# 19
ZrMo2Ir after structural relaxation, computed with GGA-PBE.

The symmetry is F-43m, No. 216. The calculated formation energy is -187 meV/atom. As for the crystal system: cubic.

a = 4.559 Å, b = 4.559 Å, c = 4.559 Å
α = 60.00°, β = 60.00°, γ = 60.00°
Atoms (fractional coordinates):
Ir  0.500  0.500  0.500
Mo  0.000  0.000  0.000
Mo  0.250  0.250  0.250
Zr  0.750  0.750  0.750

# 20
Ba3NbAg after structural relaxation, computed with GGA-PBE.

The symmetry is Pm-3m, No. 221. The calculated formation energy is 734 meV/atom. As for the crystal system: cubic.

a = 6.055 Å, b = 6.055 Å, c = 6.055 Å
α = 90.00°, β = 90.00°, γ = 90.00°
Atoms (fractional coordinates):
Nb  0.000  0.000  0.000
Ba  0.000  0.500  0.000
Ba  0.000  0.000  0.500
Ba  0.500  0.000  0.000
Ag  0.500  0.500  0.500